*1*
Th3NiAu: relaxed, PBE.

Unit cell a=8.006 b=13.866 c=4.883 alpha=90.00 beta=90.00 gamma=90.00
Space group Cmmm (No. 65)
Symmetry-distinct sites (fractional):
Th1 0.000 0.126 0.000
Th2 0.185 0.500 0.500
Th3 0.250 0.250 0.500
Ni1 0.000 0.090 0.500
Au1 0.000 0.356 0.000

---

*2*
Th3NiAu: relaxed, PBE.

Unit cell a=10.540 b=6.556 c=8.280 alpha=90.00 beta=113.55 gamma=90.00
Space group C2/m (No. 12)
Symmetry-distinct sites (fractional):
Th1 0.010 0.000 0.221
Th2 0.190 0.500 0.867
Th3 0.204 0.500 0.335
Ni1 0.000 0.310 0.000
Au1 0.000 0.284 0.500

---

Which one sits at the top of the stability order? *2* does.

---

*1*
ThZnNiAu: relaxed, PBE.

Unit cell a=6.821 b=6.821 c=6.821 alpha=90.00 beta=90.00 gamma=90.00
Space group F-43m (No. 216)
Symmetry-distinct sites (fractional):
Th1 0.000 0.000 0.000
Zn1 0.000 0.000 0.500
Ni1 0.250 0.250 0.250
Au1 0.250 0.250 0.750

---

*2*
ThZnNiAu: relaxed, PBE.

Unit cell a=4.3975 b=4.3975 c=14.2033 alpha=90.00 beta=90.00 gamma=120.00
Space group R3m (No. 160, hexagonal axes)
Symmetry-distinct sites (fractional):
Th1 0.0000 0.0000 0.0000
Zn1 0.0000 0.0000 0.5233
Ni1 0.0000 0.0000 0.2138
Au1 0.0000 0.0000 0.7863

---

Which one sits at the top of the stability order? *2* does.

---

*1*
TiNiAu: relaxed, PBE.

Unit cell a=4.3214 b=4.3214 c=2.7517 alpha=90.00 beta=90.00 gamma=120.00
Space group P3m1 (No. 156)
Symmetry-distinct sites (fractional):
Ti1 0.0000 0.0000 0.0000
Ni1 0.6667 0.3333 0.1399
Au1 0.3333 0.6667 0.5577

---

*2*
TiNiAu: relaxed, PBE.

Unit cell a=3.246 b=3.246 c=8.473 alpha=90.00 beta=90.00 gamma=90.00
Space group I4mm (No. 107)
Symmetry-distinct sites (fractional):
Ti1 0.000 0.000 0.000
Ni1 0.000 0.000 0.360
Au1 0.000 0.000 0.680

---

Which one sits at the top of the stability order? *2* does.

---

*1*
TiNiAu: relaxed, PBE.

Unit cell a=8.277 b=3.606 c=6.289 alpha=90.00 beta=90.00 gamma=90.00
Space group Pnma (No. 62)
Symmetry-distinct sites (fractional):
Ti1 0.169 0.250 0.228
Ni1 0.103 0.750 0.984
Au1 0.087 0.250 0.648

---

*2*
TiNiAu: relaxed, PBE.

Unit cell a=3.735 b=4.077 c=6.149 alpha=90.00 beta=107.65 gamma=90.00
Space group P2_1/m (No. 11)
Symmetry-distinct sites (fractional):
Ti1 0.107 0.250 0.213
Ni1 0.251 0.750 0.501
Au1 0.416 0.250 0.832

---

Which one sits at the top of the stability order? *2* does.

---

*1*
Ti3NiAu: relaxed, PBE.

Unit cell a=4.506 b=4.506 c=4.506 alpha=90.00 beta=90.00 gamma=90.00
Space group Pm-3m (No. 221)
Symmetry-distinct sites (fractional):
Ti1 0.000 0.000 0.500
Ni1 0.000 0.000 0.000
Au1 0.500 0.500 0.500

---

*2*
Ti3NiAu: relaxed, PBE.

Unit cell a=4.838 b=4.838 c=4.838 alpha=90.00 beta=90.00 gamma=90.00
Space group Pm-3m (No. 221)
Symmetry-distinct sites (fractional):
Ti1 0.000 0.000 0.500
Ni1 0.500 0.500 0.500
Au1 0.000 0.000 0.000

---

Which one sits at the top of the stability order? *1* does.

---

*1*
ZrTi2NiAu: relaxed, PBE.

Unit cell a=4.856 b=4.856 c=4.467 alpha=90.00 beta=90.00 gamma=90.00
Space group P4/mmm (No. 123)
Symmetry-distinct sites (fractional):
Zr1 0.000 0.000 0.000
Ti1 0.000 0.500 0.000
Ni1 0.000 0.000 0.500
Au1 0.500 0.500 0.500

---

*2*
ZrTi2NiAu: relaxed, PBE.

Unit cell a=4.735 b=4.735 c=5.112 alpha=90.00 beta=90.00 gamma=90.00
Space group P4/mmm (No. 123)
Symmetry-distinct sites (fractional):
Zr1 0.000 0.000 0.000
Ti1 0.000 0.500 0.000
Ni1 0.500 0.500 0.500
Au1 0.000 0.000 0.500

---

Which one sits at the top of the stability order? *1* does.